No. 1
Computed, not measured: an optimized crystal structure of KSrHgBi at the GGA-PBE level of DFT.

```
KSrHgBi
1.0
8.2538 0.0000 0.0000
0.0000 8.2538 0.0000
0.0000 0.0000 8.2538
K Sr Hg Bi
4 4 4 4
Direct
0.0000 0.0000 0.0000
0.0000 0.5000 0.5000
0.5000 0.0000 0.5000
0.5000 0.5000 0.0000
0.0000 0.0000 0.5000
0.0000 0.5000 0.0000
0.5000 0.0000 0.0000
0.5000 0.5000 0.5000
0.2500 0.2500 0.7500
0.2500 0.7500 0.2500
0.7500 0.2500 0.2500
0.7500 0.7500 0.7500
0.2500 0.2500 0.2500
0.2500 0.7500 0.7500
0.7500 0.2500 0.7500
0.7500 0.7500 0.2500
```

Space group   F-43m, No. 216


No. 2
Computed, not measured: an optimized crystal structure of KHgBiTe3 at the GGA-PBE level of DFT.

```
KHgBiTe3
1.0
2.2959 -7.8623 0.0000
2.2959 7.8623 0.0000
0.0000 0.0000 11.9567
K Hg Bi Te
2 2 2 6
Direct
0.2460 0.7540 0.7500
0.7540 0.2460 0.2500
0.4530 0.5470 0.2500
0.5470 0.4530 0.7500
0.0000 0.0000 0.0000
0.0000 0.0000 0.5000
0.0725 0.9275 0.2500
0.3630 0.6370 0.0435
0.3630 0.6370 0.4565
0.6370 0.3630 0.5435
0.6370 0.3630 0.9565
0.9275 0.0725 0.7500
```

Space group   Cmcm, No. 63


No. 3
Computed, not measured: an optimized crystal structure of LaHgBi2 at the GGA-PBE level of DFT.

```
LaHgBi2
1.0
4.8977 0.0000 0.0000
0.0000 4.8977 0.0000
0.0000 0.0000 4.9556
La Hg Bi
1 1 2
Direct
0.0000 0.0000 0.0000
0.5000 0.5000 0.0000
0.0000 0.5000 0.5000
0.5000 0.0000 0.5000
```

Space group   P4/mmm, No. 123


No. 4
Computed, not measured: an optimized crystal structure of Li2HgBi at the GGA-PBE level of DFT.

```
Li2HgBi
1.0
7.1066 0.0000 0.0000
0.0000 7.1066 0.0000
0.0000 0.0000 3.3117
Li Hg Bi
4 2 2
Direct
0.0000 0.0000 0.0000
0.0000 0.5000 0.0000
0.5000 0.0000 0.0000
0.5000 0.5000 0.0000
0.2500 0.2500 0.4677
0.7500 0.7500 0.5323
0.2500 0.7500 0.5000
0.7500 0.2500 0.5000
```

Space group   P4/nmm, No. 129


No. 5
Computed, not measured: an optimized crystal structure of Li6HgBi at the GGA-PBE level of DFT.

```
Li6HgBi
1.0
4.5121 0.0000 0.0000
0.0000 4.5121 0.0000
0.0000 0.0000 6.5958
Li Hg Bi
6 1 1
Direct
0.0000 0.0000 0.0000
0.0000 0.5000 0.2437
0.0000 0.5000 0.7563
0.5000 0.0000 0.2437
0.5000 0.0000 0.7563
0.5000 0.5000 0.5000
0.5000 0.5000 0.0000
0.0000 0.0000 0.5000
```

Space group   P4/mmm, No. 123


No. 6
Computed, not measured: an optimized crystal structure of Li2HgBi at the GGA-PBE level of DFT.

```
Li2HgBi
1.0
3.4318 0.0000 0.0000
0.0000 3.4318 0.0000
0.0000 0.0000 7.0626
Li Hg Bi
2 1 1
Direct
0.0000 0.0000 0.2273
0.0000 0.0000 0.7727
0.5000 0.5000 0.0000
0.5000 0.5000 0.5000
```

Space group   P4/mmm, No. 123


No. 7
Computed, not measured: an optimized crystal structure of LiHgBi2 at the GGA-PBE level of DFT.

```
LiHgBi2
1.0
7.6398 0.0000 0.0000
0.0000 7.6398 0.0000
0.0000 0.0000 7.6398
Li Hg Bi
4 4 8
Direct
0.0000 0.0000 0.0000
0.0000 0.5000 0.5000
0.5000 0.0000 0.5000
0.5000 0.5000 0.0000
0.2500 0.2500 0.2500
0.2500 0.7500 0.7500
0.7500 0.2500 0.7500
0.7500 0.7500 0.2500
0.0000 0.0000 0.5000
0.0000 0.5000 0.0000
0.2500 0.2500 0.7500
0.2500 0.7500 0.2500
0.5000 0.0000 0.0000
0.5000 0.5000 0.5000
0.7500 0.2500 0.2500
0.7500 0.7500 0.7500
```

Space group   F-43m, No. 216


No. 8
Computed, not measured: an optimized crystal structure of LiHg2Bi at the GGA-PBE level of DFT.

```
LiHg2Bi
1.0
7.3477 0.0000 0.0000
0.0000 7.3477 0.0000
0.0000 0.0000 7.3477
Li Hg Bi
4 8 4
Direct
0.0000 0.0000 0.0000
0.0000 0.5000 0.5000
0.5000 0.0000 0.5000
0.5000 0.5000 0.0000
0.0000 0.0000 0.5000
0.0000 0.5000 0.0000
0.2500 0.2500 0.2500
0.2500 0.7500 0.7500
0.5000 0.0000 0.0000
0.5000 0.5000 0.5000
0.7500 0.2500 0.7500
0.7500 0.7500 0.2500
0.2500 0.2500 0.7500
0.2500 0.7500 0.2500
0.7500 0.2500 0.2500
0.7500 0.7500 0.7500
```

Space group   F-43m, No. 216


No. 9
Computed, not measured: an optimized crystal structure of Li2Hg2Bi at the GGA-PBE level of DFT.

```
Li2Hg2Bi
1.0
0.0000 7.2845 2.7410
5.6025 0.0000 2.7410
5.6025 7.2845 0.0000
Li Hg Bi
4 4 2
Direct
0.0502 0.9498 0.1543
0.0957 0.4043 0.1998
0.4043 0.0957 0.3002
0.9498 0.0502 0.8457
0.2518 0.5860 0.3287
0.4166 0.9213 0.6640
0.5860 0.2518 0.8334
0.9213 0.4166 0.9982
0.5428 0.5428 0.4572
0.7928 0.7928 0.7072
```

Space group   Fdd2, No. 43


No. 10
Computed, not measured: an optimized crystal structure of Li2HgBi at the GGA-PBE level of DFT.

```
Li2HgBi
1.0
5.2185 0.0000 0.0000
-2.6093 4.5194 0.0000
0.0000 0.0000 8.4411
Li Hg Bi
4 2 2
Direct
0.3333 0.6667 0.0867
0.3333 0.6667 0.4133
0.6667 0.3333 0.5867
0.6667 0.3333 0.9133
0.0000 0.0000 0.2500
0.0000 0.0000 0.7500
0.3333 0.6667 0.7500
0.6667 0.3333 0.2500
```

Space group   P6_3/mmc, No. 194


No. 11
Computed, not measured: an optimized crystal structure of Li2HgBi at the GGA-PBE level of DFT.

```
Li2HgBi
1.0
4.9605 0.0000 0.0000
0.0000 4.9605 0.0000
0.0000 0.0000 3.3490
Li Hg Bi
2 1 1
Direct
0.0000 0.5000 0.0000
0.5000 0.0000 0.0000
0.0000 0.0000 0.5000
0.5000 0.5000 0.5000
```

Space group   P4/mmm, No. 123


No. 12
Computed, not measured: an optimized crystal structure of Li2HgBi at the GGA-PBE level of DFT.

```
Li2HgBi
1.0
4.7196 0.0000 0.0000
0.0000 4.7384 0.0000
0.0000 0.0000 7.3204
Li Hg Bi
4 2 2
Direct
0.0000 0.0000 0.2500
0.0000 0.0000 0.7500
0.5000 0.5000 0.2500
0.5000 0.5000 0.7500
0.0000 0.5000 0.0000
0.5000 0.0000 0.5000
0.0000 0.5000 0.5000
0.5000 0.0000 0.0000
```

Space group   Immm, No. 71


Calculated VASP energy (eV/f.u.), listed in the same order as above: -9.49 -17.56 -15.55 -9.67 -18.83 -9.64 -10.58 -6.94 -9.73 -9.15 -9.66 -9.73